A relaxed GdThCo4 crystal, computed with PBE.

Cell: 5.083 5.083 5.083 Å, 60.00 60.00 60.00°
Atoms (fractional coordinates):
Gd1 0.000 0.000 0.000
Co1 0.625 0.625 0.124
Co2 0.625 0.124 0.625
Co3 0.625 0.625 0.625
Co4 0.124 0.625 0.625
Th1 0.250 0.250 0.250

Space-group type ... No. 216
E ... -51.00 eV per cell
ΔH_f (0 K) ... -0.180 eV/atom
ρ ... 11.18 Mg/m³
Spin magnetization ... 5.8 μB/f.u.


A relaxed B5C7 crystal, computed with PBE.

Cell: 2.546 4.776 6.492 Å, 95.90 90.00 90.00°
Atoms (fractional coordinates):
B1 0.500 0.805 0.349
B2 0.000 0.694 0.688
B3 0.000 0.301 0.562
B4 0.000 0.020 0.268
B5 0.000 0.002 0.976
C1 0.500 0.494 0.243
C2 0.500 0.499 0.001
C3 0.500 0.187 0.903
C4 0.000 0.352 0.312
C5 0.000 0.652 0.933
C6 0.500 0.152 0.672
C7 0.500 0.841 0.593

Space-group type ... No. 6
Offset from the most stable computed form ... 106.2 meV per atom
E ... -93.58 eV per cell
ΔH_f (0 K) ... 0.364 eV/atom
ρ ... 2.92 Mg/m³
Spin magnetization ... 0.0 μB/f.u.


A relaxed TmHg2Au crystal, computed with PBE.

Cell: 4.570 4.570 9.245 Å, 104.31 104.31 90.00°
Atoms (fractional coordinates):
Tm1 0.138 0.138 0.277
Tm2 0.862 0.862 0.723
Hg1 0.000 0.500 0.000
Hg2 0.500 0.000 0.000
Hg3 0.368 0.368 0.736
Hg4 0.632 0.632 0.264
Au1 0.250 0.750 0.500
Au2 0.750 0.250 0.500

Space-group type ... No. 139
E ... -20.16 eV per cell
ΔH_f (0 K) ... -0.431 eV/atom
ρ ... 14.08 Mg/m³
Spin magnetization ... 0.0 μB/f.u.